Entry 1:
PuScNb: relaxed, PBE-GGA.

## Properties
crystal system	cubic
energy above the lowest structure with this stoichiometry	0	meV per atom
ΔE_f	0.692	eV per atom

Lattice parameters (Å, degrees): 6.525 6.525 6.525 90.00 90.00 90.00
Space group F-43m (No. 216)
One atom of each set of equivalent atoms:
Pu 0.000 0.000 0.000 [4 per cell]
Sc 0.000 0.000 0.500 [4 per cell]
Nb 0.250 0.250 0.250 [4 per cell]

=====

Entry 2:
LiLuCoB: relaxed, PBE-GGA.

## Properties
crystal system	cubic
energy above the lowest structure with this stoichiometry	0	meV per atom

Lattice parameters (Å, degrees): 5.869 5.869 5.869 90.00 90.00 90.00
Space group F-43m (No. 216)
One atom of each set of equivalent atoms:
Li 0.000 0.000 0.000 [4 per cell]
Lu 0.250 0.250 0.250 [4 per cell]
Co 0.250 0.250 0.750 [4 per cell]
B 0.000 0.000 0.500 [4 per cell]

=====

Entry 3:
BaErMgS3: relaxed, PBE-GGA.

## Properties
crystal system	orthorhombic
raw total energy	-5.087	eV/atom

Lattice parameters (Å, degrees): 4.037 14.047 10.420 90.00 90.00 90.00
Space group Cmcm (No. 63)
One atom of each set of equivalent atoms:
Ba 0.000 0.245 0.250 [4 per cell]
Er 0.000 0.500 0.000 [4 per cell]
Mg 0.000 0.032 0.750 [4 per cell]
S 0.000 0.131 0.562 [8 per cell]
S 0.000 0.433 0.750 [4 per cell]

=====

Entry 4:
ZnAgBr3: relaxed, PBE-GGA.

## Properties
crystal system	cubic
raw total energy	-2.103	eV/atom

Lattice parameters (Å, degrees): 5.174 5.174 5.174 90.00 90.00 90.00
Space group Pm-3m (No. 221)
One atom of each set of equivalent atoms:
Zn 0.000 0.000 0.000 [1 per cell]
Ag 0.500 0.500 0.500 [1 per cell]
Br 0.000 0.000 0.500 [3 per cell]

=====

Entry 5:
NaCuGeTe2S: relaxed, PBE-GGA.

## Properties
crystal system	orthorhombic
raw total energy	-3.620	eV/atom

Lattice parameters (Å, degrees): 4.021 12.912 10.815 90.00 90.00 90.00
Space group Cmcm (No. 63)
One atom of each set of equivalent atoms:
Na 0.000 0.214 0.250 [4 per cell]
Cu 0.000 0.040 0.750 [4 per cell]
Ge 0.000 0.500 0.000 [4 per cell]
Te 0.000 0.156 0.543 [8 per cell]
S 0.000 0.458 0.750 [4 per cell]

=====

Entry 6:
RbAg2PSe3S: relaxed, PBE-GGA.

## Properties
crystal system	monoclinic
raw total energy	-3.728	eV/atom

Lattice parameters (Å, degrees): 8.872 9.868 6.539 90.00 131.44 90.00
Space group Cm (No. 8)
One atom of each set of equivalent atoms:
Rb 0.000 0.000 0.000 [2 per cell]
Ag 0.008 0.255 0.508 [4 per cell]
P 0.012 0.500 0.029 [2 per cell]
Se 0.153 0.314 0.018 [4 per cell]
Se 0.185 0.000 0.651 [2 per cell]
S 0.051 0.500 0.377 [2 per cell]

=====

Entry 7:
Li4In2PdPt: relaxed, PBE-GGA.

## Properties
crystal system	tetragonal
raw total energy	-3.577	eV/atom

Lattice parameters (Å, degrees): 4.490 4.490 6.347 90.00 90.00 90.00
Space group P-4m2 (No. 115)
One atom of each set of equivalent atoms:
Li 0.000 0.000 0.000 [1 per cell]
Li 0.000 0.500 0.250 [2 per cell]
Li 0.500 0.500 0.500 [1 per cell]
In 0.000 0.500 0.750 [2 per cell]
Pd 0.000 0.000 0.500 [1 per cell]
Pt 0.500 0.500 0.000 [1 per cell]

=====

Entry 8:
RbNdSi: relaxed, PBE-GGA.

## Properties
crystal system	cubic
raw total energy	-3.475	eV/atom

Lattice parameters (Å, degrees): 7.547 7.547 7.547 90.00 90.00 90.00
Space group F-43m (No. 216)
One atom of each set of equivalent atoms:
Rb 0.000 0.000 0.000 [4 per cell]
Nd 0.000 0.000 0.500 [4 per cell]
Si 0.250 0.250 0.750 [4 per cell]

=====

Entry 9:
HfZnFeB: relaxed, PBE-GGA.

## Properties
crystal system	cubic
energy above the lowest structure with this stoichiometry	271	meV per atom

Lattice parameters (Å, degrees): 5.892 5.892 5.892 90.00 90.00 90.00
Space group F-43m (No. 216)
One atom of each set of equivalent atoms:
Hf 0.000 0.000 0.000 [4 per cell]
Zn 0.250 0.250 0.250 [4 per cell]
Fe 0.250 0.250 0.750 [4 per cell]
B 0.000 0.000 0.500 [4 per cell]

=====

Entry 10:
AcGdCd: relaxed, PBE-GGA.

## Properties
crystal system	cubic
energy above the lowest structure with this stoichiometry	0	meV per atom
ΔE_f	0.397	eV per atom

Lattice parameters (Å, degrees): 7.435 7.435 7.435 90.00 90.00 90.00
Space group F-43m (No. 216)
One atom of each set of equivalent atoms:
Ac 0.000 0.000 0.000 [4 per cell]
Gd 0.250 0.250 0.250 [4 per cell]
Cd 0.000 0.000 0.500 [4 per cell]

=====

Entry 11:
Gd2ErMg3In3: relaxed, PBE-GGA.

## Properties
crystal system	orthorhombic
raw total energy	-3.367	eV/atom

Lattice parameters (Å, degrees): 4.684 12.983 7.555 90.00 90.00 90.00
Space group Amm2 (No. 38)
One atom of each set of equivalent atoms:
Gd 0.000 0.217 0.000 [4 per cell]
Er 0.000 0.000 0.348 [2 per cell]
Mg 0.500 0.000 0.023 [2 per cell]
Mg 0.500 0.121 0.661 [4 per cell]
In 0.000 0.000 0.779 [2 per cell]
In 0.500 0.165 0.283 [4 per cell]

=====

Entry 12:
BaAgHgAs2: relaxed, PBE-GGA.

## Properties
crystal system	orthorhombic
raw total energy	-3.227	eV/atom

Lattice parameters (Å, degrees): 4.455 18.603 6.555 90.00 90.00 90.00
Space group Cmc2_1 (No. 36)
One atom of each set of equivalent atoms:
Ba 0.000 0.175 0.000 [4 per cell]
Ag 0.000 0.014 0.663 [4 per cell]
Hg 0.000 0.377 0.980 [4 per cell]
As 0.000 0.198 0.502 [4 per cell]
As 0.000 0.478 0.419 [4 per cell]

=====

Entry 13:
Nb3Os: relaxed, PBE-GGA.

## Properties
crystal system	cubic
ΔE_f	-0.238	eV per atom

Lattice parameters (Å, degrees): 6.472 6.472 6.472 90.00 90.00 90.00
Space group Fm-3m (No. 225)
One atom of each set of equivalent atoms:
Nb 0.000 0.000 0.000 [4 per cell]
Nb 0.250 0.250 0.250 [8 per cell]
Os 0.000 0.000 0.500 [4 per cell]

=====

Entry 14:
BaPrNO: relaxed, PBE-GGA.

## Properties
crystal system	orthorhombic
energy above the lowest structure with this stoichiometry	54	meV per atom

Lattice parameters (Å, degrees): 4.028 7.340 6.462 90.00 90.00 90.00
Space group Pmc2_1 (No. 26)
One atom of each set of equivalent atoms:
Ba 0.000 0.164 0.000 [2 per cell]
Pr 0.500 0.344 0.509 [2 per cell]
N 0.000 0.196 0.419 [2 per cell]
O 0.500 0.361 0.869 [2 per cell]

=====

Entry 15:
SrTePtO: relaxed, PBE-GGA.

## Properties
crystal system	tetragonal
energy above the lowest structure with this stoichiometry	463	meV per atom

Lattice parameters (Å, degrees): 4.351 4.351 9.443 90.00 90.00 90.00
Space group P4/nmm (No. 129, origin choice 2)
One atom of each set of equivalent atoms:
Sr 0.250 0.250 0.132 [2 per cell]
Te 0.250 0.250 0.543 [2 per cell]
Pt 0.250 0.250 0.798 [2 per cell]
O 0.250 0.750 0.000 [2 per cell]

=====

Entry 16:
SrCuBiPd: relaxed, PBE-GGA.

## Properties
crystal system	cubic
energy above the lowest structure with this stoichiometry	0	meV per atom

Lattice parameters (Å, degrees): 7.122 7.122 7.122 90.00 90.00 90.00
Space group F-43m (No. 216)
One atom of each set of equivalent atoms:
Sr 0.000 0.000 0.000 [4 per cell]
Cu 0.250 0.250 0.250 [4 per cell]
Bi 0.000 0.000 0.500 [4 per cell]
Pd 0.250 0.250 0.750 [4 per cell]

=====

Entry 17:
PmMgAgHg: relaxed, PBE-GGA.

## Properties
crystal system	cubic
raw total energy	-2.757	eV/atom

Lattice parameters (Å, degrees): 7.185 7.185 7.185 90.00 90.00 90.00
Space group F-43m (No. 216)
One atom of each set of equivalent atoms:
Pm 0.000 0.000 0.000 [4 per cell]
Mg 0.000 0.000 0.500 [4 per cell]
Ag 0.250 0.250 0.750 [4 per cell]
Hg 0.250 0.250 0.250 [4 per cell]

=====

Entry 18:
LuMgCuS3: relaxed, PBE-GGA.

## Properties
crystal system	orthorhombic
energy above the lowest structure with this stoichiometry	11	meV per atom

Lattice parameters (Å, degrees): 3.657 12.074 10.107 90.00 90.00 90.00
Space group Cmcm (No. 63)
One atom of each set of equivalent atoms:
Lu 0.000 0.000 0.000 [4 per cell]
Mg 0.000 0.236 0.250 [4 per cell]
Cu 0.000 0.479 0.750 [4 per cell]
S 0.000 0.101 0.750 [4 per cell]
S 0.000 0.355 0.579 [8 per cell]

=====

Entry 19:
BeNbInFe: relaxed, PBE-GGA.

## Properties
crystal system	cubic
energy above the lowest structure with this stoichiometry	0	meV per atom

Lattice parameters (Å, degrees): 6.094 6.094 6.094 90.00 90.00 90.00
Space group F-43m (No. 216)
One atom of each set of equivalent atoms:
Be 0.000 0.000 0.000 [4 per cell]
Nb 0.250 0.250 0.250 [4 per cell]
In 0.250 0.250 0.750 [4 per cell]
Fe 0.000 0.000 0.500 [4 per cell]

=====

Entry 20:
CuF4: relaxed, PBE-GGA.

## Properties
crystal system	monoclinic
raw total energy	-2.857	eV/atom

Lattice parameters (Å, degrees): 6.032 4.151 4.506 90.00 128.36 90.00
Space group C2/m (No. 12)
One atom of each set of equivalent atoms:
Cu 0.000 0.000 0.000 [2 per cell]
F 0.151 0.500 0.865 [4 per cell]
F 0.166 0.000 0.487 [4 per cell]